(1)
# ZrP2Os | the Alexandria database | PBE | relaxed
data_ZrP2Os
_cell_length_a 8.7152
_cell_length_b 3.1481
_cell_length_c 4.6915
_cell_angle_alpha 90.00
_cell_angle_beta 104.84
_cell_angle_gamma 90.00
_space_group_name_H-M_alt 'C 1 m 1'
_space_group_IT_number 8
loop_
_space_group_symop_operation_xyz
'x,y,z'
'x,-y,z'
'x+1/2,y+1/2,z'
'x+1/2,-y+1/2,z'
loop_
_atom_site_label
_atom_site_type_symbol
_atom_site_fract_x
_atom_site_fract_y
_atom_site_fract_z
Zr1 Zr 0.0000 0.0000 0.0000
P1 P 0.0086 0.5000 0.4936
P2 P 0.2483 0.5000 0.1957
Os1 Os 0.2347 0.0000 0.5965
# * ΔE to the lowest computed polymorph: 139.6 meV per atom
# * energy relative to the elements: -11.5 kcal/mol of atoms


(2)
# LaErCoCu | the Alexandria database | PBE | relaxed
data_LaErCoCu
_cell_length_a 6.9496
_cell_length_b 6.9496
_cell_length_c 6.9496
_cell_angle_alpha 90.00
_cell_angle_beta 90.00
_cell_angle_gamma 90.00
_space_group_name_H-M_alt 'F -4 3 m'
_space_group_IT_number 216
_space_group_name_Hall 'F -4 2 3'
loop_
_atom_site_label
_atom_site_type_symbol
_atom_site_fract_x
_atom_site_fract_y
_atom_site_fract_z
La1 La 0.0000 0.0000 0.0000
Er1 Er 0.0000 0.0000 0.5000
Co1 Co 0.2500 0.2500 0.2500
Cu1 Cu 0.2500 0.2500 0.7500
# * energy relative to the elements: -2.6 kcal/mol of atoms


(3)
# Sr4TeAs | the Alexandria database | PBE | relaxed
data_Sr4TeAs
_cell_length_a 9.5592
_cell_length_b 9.5592
_cell_length_c 9.5592
_cell_angle_alpha 90.00
_cell_angle_beta 90.00
_cell_angle_gamma 90.00
_space_group_name_H-M_alt 'F -4 3 m'
_space_group_IT_number 216
_space_group_name_Hall 'F -4 2 3'
loop_
_atom_site_label
_atom_site_type_symbol
_atom_site_fract_x
_atom_site_fract_y
_atom_site_fract_z
Sr1 Sr 0.1254 0.1254 0.1254
Te1 Te 0.2500 0.2500 0.7500
As1 As 0.0000 0.0000 0.5000
# * uncorrected formation energy: 0.004 eV/atom


(4)
# Nd11In9Ir4 | the Alexandria database | PBE | relaxed
data_Nd11In9Ir4
_cell_length_a 14.9209
_cell_length_b 22.2578
_cell_length_c 3.8602
_cell_angle_alpha 90.00
_cell_angle_beta 90.00
_cell_angle_gamma 90.00
_space_group_name_H-M_alt 'C m m m'
_space_group_IT_number 65
_space_group_name_Hall '-C 2 2'
loop_
_atom_site_label
_atom_site_type_symbol
_atom_site_fract_x
_atom_site_fract_y
_atom_site_fract_z
Nd1 Nd 0.0000 0.0000 0.0000
Nd2 Nd 0.0000 0.1635 0.0000
Nd3 Nd 0.0000 0.3744 0.0000
Nd4 Nd 0.1880 0.5000 0.0000
Nd5 Nd 0.2470 0.1693 0.0000
In1 In 0.0000 0.5000 0.5000
In2 In 0.1036 0.2644 0.5000
In3 In 0.1473 0.0706 0.5000
Ir1 Ir 0.1533 0.3988 0.5000
# * energy relative to the elements: -13.8 kcal/mol of atoms


(5)
Density functional theory data (PBE) for Rb2BaHI6 after structural relaxation.

```
data_Rb2BaHI6
_cell_length_a 9.5972
_cell_length_b 9.5972
_cell_length_c 10.6069
_cell_angle_alpha 90.00
_cell_angle_beta 90.00
_cell_angle_gamma 90.00
_space_group_name_H-M_alt 'I 4/m m m'
_space_group_IT_number 139
_space_group_name_Hall '-I 4 2'
loop_
_atom_site_label
_atom_site_type_symbol
_atom_site_fract_x
_atom_site_fract_y
_atom_site_fract_z
Rb1 Rb 0.0000 0.5000 0.2500
Ba1 Ba 0.0000 0.0000 0.0000
H1 H 0.0000 0.0000 0.5000
I1 I 0.0000 0.0000 0.3216
I2 I 0.2457 0.2457 0.0000
```


(6)
# Tb2PmIn2Hg2 | the Alexandria database | PBE | relaxed
data_Tb2PmIn2Hg2
_cell_length_a 4.9575
_cell_length_b 4.9575
_cell_length_c 26.9001
_cell_angle_alpha 90.00
_cell_angle_beta 90.00
_cell_angle_gamma 120.00
_space_group_name_H-M_alt 'R -3 m'
_space_group_IT_number 166
_space_group_name_Hall '-R 3 2"'
loop_
_atom_site_label
_atom_site_type_symbol
_atom_site_fract_x
_atom_site_fract_y
_atom_site_fract_z
Tb1 Tb 0.0000 0.0000 0.1318
Pm1 Pm 0.0000 0.0000 0.0000
In1 In 0.0000 0.0000 0.2674
Hg1 Hg 0.0000 0.0000 0.4276
# * energy relative to the elements: -6.9 kcal/mol of atoms


(7)
# SiBTe2 | the Alexandria database | PBE | relaxed
data_SiBTe2
_cell_length_a 6.8321
_cell_length_b 6.8321
_cell_length_c 6.8321
_cell_angle_alpha 90.00
_cell_angle_beta 90.00
_cell_angle_gamma 90.00
_space_group_name_H-M_alt 'F m -3 m'
_space_group_IT_number 225
_space_group_name_Hall '-F 4 2 3'
loop_
_atom_site_label
_atom_site_type_symbol
_atom_site_fract_x
_atom_site_fract_y
_atom_site_fract_z
Si1 Si 0.0000 0.0000 0.0000
B1 B 0.0000 0.0000 0.5000
Te1 Te 0.2500 0.2500 0.2500
# * ΔE to the lowest computed polymorph: 495.6 meV per atom
# * uncorrected formation energy: 1.176 eV/atom


(8)
# UFeRh2 | the Alexandria database | PBE | relaxed
data_UFeRh2
_cell_length_a 4.0015
_cell_length_b 4.0015
_cell_length_c 3.9336
_cell_angle_alpha 90.00
_cell_angle_beta 90.00
_cell_angle_gamma 90.00
_space_group_name_H-M_alt 'P 4/m m m'
_space_group_IT_number 123
_space_group_name_Hall '-P 4 2'
loop_
_atom_site_label
_atom_site_type_symbol
_atom_site_fract_x
_atom_site_fract_y
_atom_site_fract_z
U1 U 0.0000 0.0000 0.0000
Fe1 Fe 0.5000 0.5000 0.0000
Rh1 Rh 0.0000 0.5000 0.5000
# * ΔE to the lowest computed polymorph: 0.0 meV per atom
# * energy relative to the elements: -11.3 kcal/mol of atoms


(9)
# ZrTe4Rh | the Alexandria database | PBE | relaxed
data_ZrTe4Rh
_cell_length_a 7.8402
_cell_length_b 8.1820
_cell_length_c 10.6574
_cell_angle_alpha 90.00
_cell_angle_beta 90.00
_cell_angle_gamma 90.00
_space_group_name_H-M_alt 'I m m a'
_space_group_IT_number 74
_space_group_name_Hall '-I 2b 2'
loop_
_atom_site_label
_atom_site_type_symbol
_atom_site_fract_x
_atom_site_fract_y
_atom_site_fract_z
Zr1 Zr 0.2500 0.2500 0.2500
Te1 Te 0.0000 0.0113 0.7436
Te2 Te 0.2262 0.2500 0.9788
Rh1 Rh 0.0000 0.0000 0.0000
# * ΔE to the lowest computed polymorph: 0.0 meV per atom
# * uncorrected formation energy: -0.526 eV/atom


(10)
# MgRuPb4 | the Alexandria database | PBE | relaxed
data_MgRuPb4
_cell_length_a 8.8131
_cell_length_b 8.8131
_cell_length_c 8.8131
_cell_angle_alpha 90.00
_cell_angle_beta 90.00
_cell_angle_gamma 90.00
_space_group_name_H-M_alt 'F -4 3 m'
_space_group_IT_number 216
_space_group_name_Hall 'F -4 2 3'
loop_
_atom_site_label
_atom_site_type_symbol
_atom_site_fract_x
_atom_site_fract_y
_atom_site_fract_z
Mg1 Mg 0.0000 0.0000 0.0000
Ru1 Ru 0.2500 0.2500 0.2500
Pb1 Pb 0.1240 0.1240 0.6240
# * energy relative to the elements: 17.6 kcal/mol of atoms


(11)
# LaNdBiSe | the Alexandria database | PBE | relaxed
data_LaNdBiSe
_cell_length_a 4.5065
_cell_length_b 4.5065
_cell_length_c 6.3108
_cell_angle_alpha 90.00
_cell_angle_beta 90.00
_cell_angle_gamma 90.00
_space_group_name_H-M_alt 'P 4/m m m'
_space_group_IT_number 123
_space_group_name_Hall '-P 4 2'
loop_
_atom_site_label
_atom_site_type_symbol
_atom_site_fract_x
_atom_site_fract_y
_atom_site_fract_z
La1 La 0.0000 0.0000 0.0000
Nd1 Nd 0.5000 0.5000 0.5000
Bi1 Bi 0.5000 0.5000 0.0000
Se1 Se 0.0000 0.0000 0.5000
# * uncorrected formation energy: -1.390 eV/atom


(12)
# LaNiAu | the Alexandria database | PBE | relaxed
data_LaNiAu
_cell_length_a 4.4688
_cell_length_b 4.4688
_cell_length_c 3.8665
_cell_angle_alpha 90.00
_cell_angle_beta 90.00
_cell_angle_gamma 120.00
_space_group_name_H-M_alt 'P 3 m 1'
_space_group_IT_number 156
loop_
_space_group_symop_operation_xyz
'x,y,z'
'-y,x-y,z'
'-x+y,-x,z'
'-y,-x,z'
'-x+y,y,z'
'x,x-y,z'
loop_
_atom_site_label
_atom_site_type_symbol
_atom_site_fract_x
_atom_site_fract_y
_atom_site_fract_z
La1 La 0.0000 0.0000 0.0000
Ni1 Ni 0.3333 0.6667 0.4986
Au1 Au 0.6667 0.3333 0.5004
# * energy relative to the elements: -12.6 kcal/mol of atoms


| no. | energy (Ry per atom) |
| --- | --- |
| 1 | -0.59878 |
| 2 | -0.38840 |
| 3 | -0.17758 |
| 4 | -0.38871 |
| 5 | -0.19086 |
| 6 | -0.23281 |
| 7 | -0.25139 |
| 8 | -0.66893 |
| 9 | -0.38738 |
| 10 | -0.25868 |
| 11 | -0.41562 |
| 12 | -0.38268 |